This record from Alexandria via LeMat-Bulk describes a relaxed structure of MgAg2Ru. The functional is GGA-PBE.

Summary:
energy of formation from the pure elements = 1.069 eV per formula unit

a b c (Å): 9.5917 9.5917 9.5917
angles (deg): 17.17 17.17 17.17
Last column: nearest neighbours and their distance in Å.
Sites, in units of the cell vectors:
Mg (0.2500, 0.2500, 0.2500)  6 Mg 2.86, 6 Ag 2.89
Ag (0.4996, 0.4996, 0.4996)  6 Ag 2.86, 3 Ru 2.88, 3 Mg 2.89
Ag (0.0004, 0.0004, 0.0004)  6 Ag 2.86, 3 Ru 2.88, 3 Mg 2.89
Ru (0.7500, 0.7500, 0.7500)  6 Ru 2.86, 6 Ag 2.88



This record from Alexandria via LeMat-Bulk describes a relaxed structure of Li2PmZnAu4. The functional is GGA-PBE.

Summary:
energy of formation from the pure elements = -4.449 eV per formula unit

a b c (Å): 4.5134 4.5134 8.9251
angles (deg): 75.35 75.35 60.00
Last column: nearest neighbours and their distance in Å.
Sites, in units of the cell vectors:
Au (0.1279, 0.1279, 0.6164)  4 Li 2.72-2.78, 3 Zn 2.79
Au (0.8721, 0.8721, 0.3836)  4 Li 2.72-2.78, 3 Zn 2.79
Au (0.3975, 0.3975, 0.8075)  1 Zn 2.62, 3 Li 2.74
Au (0.6025, 0.6025, 0.1925)  1 Zn 2.62, 3 Li 2.74
Zn (0.5000, 0.5000, 0.5000)  8 Au 2.62-2.79
Pm (0.0000, 0.0000, 0.0000)  8 Au 3.08-3.27
Li (0.2365, 0.2365, 0.2906)  7 Au 2.72-2.78
Li (0.7635, 0.7635, 0.7094)  7 Au 2.72-2.78



This record from Alexandria via LeMat-Bulk describes a relaxed structure of SrAuF. The functional is GGA-PBE.

Summary:
ΔE_f (raw) = -2.207 eV per atom

a b c (Å): 4.8792 4.8792 8.1847
angles (deg): 101.94 90.88 128.83
Last column: nearest neighbours and their distance in Å.
Sites, in units of the cell vectors:
Sr (0.5346, 0.0066, 0.5412)  3 F 2.45
Sr (0.2255, 0.7458, 0.9713)  3 F 2.45
Au (0.0144, 0.1947, 0.2091)  3 Au 2.80-2.81
Au (0.7458, 0.5577, 0.3035)  3 Au 2.80-2.81
F (0.1719, 0.4967, 0.6686)  3 Sr 2.45
F (0.5883, 0.2556, 0.8439)  3 Sr 2.45



This record from Alexandria via LeMat-Bulk describes a relaxed structure of Ce6Ru2C. The functional is GGA-PBE.

Summary:
energy of formation from the pure elements = -2.018 eV per formula unit

a b c (Å): 6.2426 6.9955 9.7765
angles (deg): 90.00 88.50 90.00
Last column: nearest neighbours and their distance in Å.
Sites, in units of the cell vectors:
Ce (0.3292, 0.8298, 0.5596)  1 C 2.46
Ce (0.1358, 0.0455, 0.2558)  1 C 2.53, 1 Ru 2.57
Ce (0.8476, 0.6783, 0.4407)  1 C 2.52
Ce (0.1524, 0.3217, 0.5593)  1 C 2.52
Ce (0.3476, 0.8217, 0.9407)  1 C 2.52
Ce (0.8292, 0.6702, 0.0596)  1 C 2.46
Ce (0.6358, 0.4545, 0.7558)  1 C 2.53, 1 Ru 2.57
Ce (0.1708, 0.3298, 0.9404)  1 C 2.46
Ce (0.6708, 0.1702, 0.4404)  1 C 2.46
Ce (0.8642, 0.9545, 0.7442)  1 C 2.53, 1 Ru 2.57
Ce (0.6524, 0.1783, 0.0593)  1 C 2.52
Ce (0.3642, 0.5455, 0.2442)  1 C 2.53, 1 Ru 2.57
Ru (0.9473, 0.3708, 0.2366)  3 Ce 2.57-2.88
Ru (0.4473, 0.1292, 0.7366)  3 Ce 2.57-2.88
Ru (0.5527, 0.8708, 0.2634)  3 Ce 2.57-2.88
Ru (0.0527, 0.6292, 0.7634)  3 Ce 2.57-2.88
C (0.0000, 0.0000, 0.5000)  6 Ce 2.46-2.53
C (0.5000, 0.5000, 0.0000)  6 Ce 2.46-2.53



This record from Alexandria via LeMat-Bulk describes a relaxed structure of Y2MgBRu. The functional is GGA-PBE.

Summary:
energy of formation from the pure elements = -1.235 eV per formula unit

a b c (Å): 5.1417 5.1417 4.0092
angles (deg): 90.00 90.00 90.00
Last column: nearest neighbours and their distance in Å.
Sites, in units of the cell vectors:
Ru (0.0000, 0.0000, 0.5000)  2 B 2.00
B (0.0000, 0.0000, 0.0000)  2 Ru 2.00
Y (0.5000, 0.0000, 0.0000)  2 B 2.57
Y (0.0000, 0.5000, 0.0000)  2 B 2.57
Mg (0.5000, 0.5000, 0.5000)  8 Y 3.26, 4 Ru 3.64



Total energy (computed, eV for the cell shown): -15.50 -27.41 -26.90 -130.79 -31.71
DOS(E_F) (computed, states/eV/cell): 2.98 2.80 0.26 42.66 3.35